Entry 1:
NpS2Cl4 after structural relaxation, computed with PBE-GGA.

It has space group P-1 (No. 2), with a = 3.924 Å, b = 7.529 Å, c = 8.857 Å, α = 93.17°, β = 101.81° and γ = 91.76°. Symmetry generates all atoms from Np at (0.000, 0.000, 0.000), S at (0.293, 0.427, 0.500), Cl at (0.125, 0.932, 0.279) and Cl at (0.460, 0.759, 0.944).

As for the total magnetization: 0.480 μB per atom. The value obtained for the density of states at the Fermi level is 11.9 states/eV per cell. The value obtained for the total energy is -35.71 eV per cell. For the calculated volume, the calculation gives 255.5 Å³/cell.

---

Entry 2:
Np4S6Cl after structural relaxation, computed with PBE-GGA.

It has space group P-6m2 (No. 187), with a = 8.4072 Å, b = 8.4072 Å, c = 3.8136 Å, α = 90.00°, β = 90.00° and γ = 120.00°. Symmetry generates all atoms from Np at (0.0000, 0.0000, 0.0000), Np at (0.0261, 0.5131, 0.5000), S at (0.2073, 0.4145, 0.0000), S at (0.2775, 0.1388, 0.5000) and Cl at (0.6667, 0.3333, 0.0000).

As for the total magnetization: 1.363 μB per atom. The value obtained for the density of states at the Fermi level is 32.9 states/eV per cell. The value obtained for the total energy is -92.92 eV per cell. For the calculated volume, the calculation gives 233.4 Å³/cell.

---

Question: What is the calculated volume in the first record?
Answer: 255.5 Å³/cell